[1]
4
Lattice="-1.982 1.982 3.918 1.982 -1.982 3.918 1.982 1.982 -3.918" Properties=species:S:1:pos:R:3 comment="ScIr2Rh, optimized geometry, DFT PBE-GGA" delta_e_f_mev_per_atom=-511 m_tot_mub_per_fu=0.00 final_energy_ev_per_atom=-8.36 pbc="T T T"
Sc 0.000 0.000 0.000
Ir 0.000 0.000 3.918
Ir 0.000 1.982 1.959
Rh 1.982 0.000 1.959

---

[2]
12
Lattice="9.681 -2.222 0.000 9.681 2.222 0.000 -2.048 0.000 8.649" Properties=species:S:1:pos:R:3 comment="Ac3La2PmAs6, optimized geometry, DFT PBE-GGA" delta_e_f_mev_per_atom=-1508 m_tot_mub_per_fu=0.00 final_energy_ev_per_atom=-6.08 pbc="T T T"
Ac 0.000 0.000 0.000
Ac 5.090 0.000 5.761
Ac 12.225 0.000 2.887
La 6.127 0.000 1.454
La 11.188 0.000 7.195
Pm -1.024 0.000 4.324
As 1.947 0.000 5.082
As 3.111 0.000 0.672
As 9.114 0.000 2.246
As 8.201 0.000 6.402
As 14.204 0.000 7.976
As 15.368 0.000 3.567

---

[3]
6
Lattice="5.886 -1.659 0.000 5.886 1.659 0.000 -1.862 0.000 7.383" Properties=species:S:1:pos:R:3 comment="Sc5Tl, optimized geometry, DFT PBE-GGA" delta_e_f_mev_per_atom=-101 m_tot_mub_per_fu=0.01 de_polymorph_mev_per_atom=20.2 final_energy_ev_per_atom=-5.77 pbc="T T T"
Sc 0.000 0.000 0.000
Sc -0.664 0.000 4.495
Sc 2.536 0.000 4.952
Sc 3.912 0.000 2.006
Sc 7.021 0.000 2.491
Tl 6.685 0.000 7.014